DFT (GGA-PBE) results for Sr3CuAg3 after structural relaxation.

a b c (Å): 4.493 6.290 15.731
angles (deg): 87.97 81.79 69.08
Positions (direct):
Sr 0.575 0.253 0.598
Sr 0.425 0.747 0.402
Sr 0.237 0.293 0.233
Sr 0.763 0.707 0.767
Sr 0.401 0.275 0.922
Sr 0.599 0.725 0.078
Cu 0.736 0.152 0.376
Cu 0.264 0.848 0.624
Ag 0.878 0.686 0.558
Ag 0.122 0.314 0.442
Ag 0.112 0.855 0.922
Ag 0.888 0.145 0.078
Ag 0.944 0.875 0.237
Ag 0.056 0.125 0.763

Output
V   29.355 Å³/atom
N(E_F)   7.87 states/eV per cell
Space group   C2/m
Formation enthalpy at 0 K   -247 meV/atom



DFT (GGA-PBE) results for SrCu4Ag after structural relaxation.

a b c (Å): 4.134 5.124 5.559
angles (deg): 117.45 90.00 90.00
Positions (direct):
Sr 0.000 0.000 0.000
Cu 0.000 0.311 0.622
Cu 0.000 0.689 0.378
Cu 0.500 0.500 0.500
Cu 0.500 0.000 0.500
Ag 0.500 0.500 0.000

Output
V   17.417 Å³/atom
N(E_F)   1.85 states/eV per cell
Space group   Cmmm
E above lowest polymorph   0 meV/atom
Formation enthalpy at 0 K   -85 meV/atom



DFT (GGA-PBE) results for SrTmCuAg after structural relaxation.

a b c (Å): 5.187 5.187 5.187
angles (deg): 60.00 60.00 60.00
Positions (direct):
Sr 0.500 0.500 0.500
Tm 0.000 0.000 0.000
Cu 0.250 0.250 0.250
Ag 0.750 0.750 0.750

Output
V   24.672 Å³/atom
N(E_F)   3.78 states/eV per cell
Space group   F-43m
Formation enthalpy at 0 K   -91 meV/atom



DFT (GGA-PBE) results for SrV2CuAg after structural relaxation.

a b c (Å): 4.764 4.764 5.529
angles (deg): 90.00 90.00 90.00
Positions (direct):
Sr 0.000 0.000 0.500
Cu 0.000 0.000 0.000
Ag 0.500 0.500 0.500
V 0.000 0.500 0.000
V 0.500 0.000 0.000

Output
V   25.102 Å³/atom
N(E_F)   10.21 states/eV per cell
Space group   P4/mmm
Formation enthalpy at 0 K   962 meV/atom